Computed, not measured: a PBEsol-optimized structure of KZnCd2 at the meta-GGA SCAN level of DFT.

Unit cell a=3.2434 b=4.9336 c=6.9900 alpha=97.63 beta=90.00 gamma=109.19
Fractional positions:
Cd: 0.2617 0.5233 0.8237
Cd: 0.0042 0.0085 0.0284
Zn: 0.7385 0.4770 0.1574
K: 0.4956 0.9912 0.4905

Computed properties:
* space-group type: Cm, No. 8
* formation energy: 0.3 eV per formula unit
* magnetic moment: 0.000 μB per atom

---

Computed, not measured: a PBEsol-optimized structure of Zn2TcTe at the meta-GGA SCAN level of DFT.

Unit cell a=3.0674 b=4.4902 c=4.8969 alpha=90.00 beta=90.00 gamma=93.12
Last column: magnetic moment on the atom in μB.
Fractional positions:
Zn: 0.2571 0.2288 0.0000  -0.01
Zn: 0.7429 0.7712 0.0000  -0.01
Tc: 0.0000 0.0000 0.5000  0.73
Te: 0.5000 0.5000 0.5000  -0.01

Computed properties:
* uncorrected formation energy: 1.6 eV per formula unit
* space-group type: P2/m, No. 10
* magnetic moment: 0.175 μB per atom

---

Computed, not measured: a PBEsol-optimized structure of Mg2TaCr at the meta-GGA SCAN level of DFT.

Unit cell a=3.1964 b=4.3071 c=5.5289 alpha=112.92 beta=106.80 gamma=90.00
Last column: magnetic moment on the atom in μB.
Fractional positions:
Cr: 0.0000 0.5000 0.0000  2.39
Mg: 0.2657 0.2657 0.5314  -0.02
Mg: 0.7343 0.7343 0.4686  -0.02
Ta: 0.5000 0.0000 0.0000  -0.58

Computed properties:
* space-group type: Immm, No. 71
* ΔE to the lowest computed polymorph: 0 meV/atom
* formation energy: 1.5 eV per formula unit
* magnetic moment: 0.400 μB per atom

---

Computed, not measured: a PBEsol-optimized structure of MgCrO2F at the meta-GGA SCAN level of DFT.

Unit cell a=3.5848 b=3.8648 c=3.8648 alpha=90.00 beta=90.00 gamma=90.00
Last column: magnetic moment on the atom in μB.
Fractional positions:
O: 0.0000 0.5000 0.0000  -0.43
O: 0.0000 0.0000 0.5000  -0.43
Mg: 0.0000 0.0000 0.0000  0.01
F: 0.5000 0.0000 0.0000  0.02
Cr: 0.5000 0.5000 0.5000  3.73

Computed properties:
* uncorrected formation energy: -8.7 eV per formula unit
* space-group type: P4/mmm, No. 123
* magnetic moment: 0.600 μB per atom

---

Computed, not measured: a PBEsol-optimized structure of Ba2CaI6 at the meta-GGA SCAN level of DFT.

Unit cell a=8.0724 b=8.0724 c=24.1719 alpha=90.00 beta=90.00 gamma=90.00
Fractional positions:
I: 0.7498 0.7447 0.7507
I: 0.7447 0.2502 0.2493
I: 0.2862 0.2147 0.4193
I: 0.7862 0.2853 0.4193
I: 0.7920 0.2084 0.0803
I: 0.2080 0.7916 0.0803
I: 0.7080 0.7084 0.0803
I: 0.7916 0.7920 0.9197
I: 0.7147 0.7862 0.5807
I: 0.7853 0.2862 0.5807
I: 0.2084 0.2080 0.9197
I: 0.2920 0.2916 0.0803
I: 0.2916 0.7080 0.9197
I: 0.2447 0.2498 0.2493
I: 0.7502 0.2447 0.7507
I: 0.2498 0.7553 0.7507
I: 0.7553 0.7502 0.2493
I: 0.2147 0.7138 0.5807
I: 0.2553 0.7498 0.2493
I: 0.2138 0.7147 0.4193
I: 0.2502 0.2553 0.7507
I: 0.7084 0.2920 0.9197
I: 0.7138 0.7853 0.4193
I: 0.2853 0.2138 0.5807
Ca: 0.5000 0.5000 0.0000
Ca: 0.0000 0.0000 0.0000
Ca: 0.0000 0.5000 0.5000
Ca: 0.5000 0.0000 0.5000
Ba: 0.5000 0.0000 0.8366
Ba: 0.0000 0.5000 0.1634
Ba: 0.0000 0.0000 0.6653
Ba: 0.0000 0.5000 0.8366
Ba: 0.5000 0.0000 0.1634
Ba: 0.0000 0.0000 0.3347
Ba: 0.5000 0.5000 0.3347
Ba: 0.5000 0.5000 0.6653

Computed properties:
* uncorrected formation energy: -16.7 eV per formula unit
* space-group type: P-4b2, No. 117
* magnetic moment: 0.000 μB per atom

---

Computed, not measured: a PBEsol-optimized structure of K2LaP2S7 at the meta-GGA SCAN level of DFT.

Unit cell a=6.7902 b=9.0510 c=19.9209 alpha=97.20 beta=90.00 gamma=90.00
Fractional positions:
S: 0.2461 0.0344 0.1076
S: 0.9225 0.1959 0.2817
S: 0.7685 0.4379 0.8991
S: 0.2211 0.4147 0.3926
S: 0.0145 0.5480 0.2603
S: 0.7539 0.9656 0.8924
S: 0.7211 0.0853 0.1074
S: 0.2789 0.9147 0.8926
S: 0.0393 0.2217 0.9948
S: 0.4607 0.7217 0.4948
S: 0.9855 0.4520 0.7397
S: 0.2469 0.9746 0.4041
S: 0.2685 0.0621 0.6009
S: 0.5393 0.2783 0.5052
S: 0.5775 0.6959 0.7817
S: 0.7469 0.5254 0.0959
S: 0.4225 0.3041 0.2183
S: 0.7315 0.9379 0.3991
S: 0.2315 0.5621 0.1009
S: 0.7461 0.4656 0.3924
S: 0.2539 0.5344 0.6076
S: 0.4855 0.0480 0.7603
S: 0.7789 0.5853 0.6073
S: 0.9607 0.7783 0.0052
S: 0.7531 0.0254 0.5959
S: 0.5145 0.9520 0.2397
S: 0.2531 0.4746 0.9041
S: 0.0775 0.8041 0.7183
P: 0.0136 0.4150 0.9555
P: 0.0198 0.5945 0.6686
P: 0.4864 0.9150 0.4555
P: 0.5198 0.9055 0.8314
P: 0.9802 0.4055 0.3314
P: 0.5136 0.0850 0.5445
P: 0.9864 0.5850 0.0445
P: 0.4802 0.0945 0.1686
K: 0.0442 0.1540 0.8120
K: 0.4851 0.7601 0.0103
K: 0.9851 0.7399 0.4897
K: 0.5149 0.2399 0.9897
K: 0.9558 0.8460 0.1880
K: 0.4558 0.6540 0.3120
K: 0.5442 0.3460 0.6880
K: 0.0149 0.2601 0.5103
La: 0.0244 0.3087 0.1501
La: 0.4756 0.8087 0.6501
La: 0.9756 0.6913 0.8499
La: 0.5244 0.1913 0.3499

Computed properties:
* uncorrected formation energy: -15.1 eV per formula unit
* space-group type: P2_1/c, No. 14
* magnetic moment: 0.000 μB per atom